# YTlCl2 (SCAN, single point on PBEsol structure)
# Uncorrected formation energy, eV/atom: -1.39
# M_tot, μB per formula unit: 0.00
# Energy relative to the lowest polymorph listed for this composition, meV/atom: 0
# Crystal system: orthorhombic
data_YTlCl2
_symmetry_space_group_name_H-M 'I m m 2'
_symmetry_Int_Tables_number 44
_cell_length_a 3.434
_cell_length_b 3.456
_cell_length_c 18.522
_cell_angle_alpha 90.00
_cell_angle_beta 90.00
_cell_angle_gamma 90.00
loop_
_symmetry_equiv_pos_as_xyz
'x,y,z'
'-x,-y,z'
'-x,y,z'
'x,-y,z'
'x+1/2,y+1/2,z+1/2'
'-x+1/2,-y+1/2,z+1/2'
'-x+1/2,y+1/2,z+1/2'
'x+1/2,-y+1/2,z+1/2'
loop_
_atom_site_label
_atom_site_fract_x
_atom_site_fract_y
_atom_site_fract_z
Y1 0.000 0.000 0.000
Tl1 0.000 0.500 0.236
Cl1 0.000 0.000 0.570
Cl2 0.000 0.500 0.894


# KBiMo3 (SCAN, single point on PBEsol structure)
# M_tot, μB per formula unit: 3.63
# Crystal system: cubic
# E_form, eV per atom: 3.1248
data_KBiMo3
_symmetry_space_group_name_H-M 'P m -3 m'
_symmetry_Int_Tables_number 221
_symmetry_space_group_name_Hall '-P 4 2 3'
_cell_length_a 4.588
_cell_length_b 4.588
_cell_length_c 4.588
_cell_angle_alpha 90.00
_cell_angle_beta 90.00
_cell_angle_gamma 90.00
loop_
_atom_site_label
_atom_site_fract_x
_atom_site_fract_y
_atom_site_fract_z
K1 0.000 0.000 0.000
Bi1 0.500 0.500 0.500
Mo1 0.000 0.000 0.500


# BaBe2F (SCAN, single point on PBEsol structure)
# Uncorrected formation energy, eV/atom: 0.45
# M_tot, μB per formula unit: 0.00
# Crystal system: cubic
data_BaBe2F
_symmetry_space_group_name_H-M 'F m -3 m'
_symmetry_Int_Tables_number 225
_symmetry_space_group_name_Hall '-F 4 2 3'
_cell_length_a 6.990
_cell_length_b 6.990
_cell_length_c 6.990
_cell_angle_alpha 90.00
_cell_angle_beta 90.00
_cell_angle_gamma 90.00
loop_
_atom_site_label
_atom_site_fract_x
_atom_site_fract_y
_atom_site_fract_z
Ba1 0.000 0.000 0.000
Be1 0.250 0.250 0.250
F1 0.000 0.000 0.500


# BePbO2 (SCAN, single point on PBEsol structure)
# Uncorrected formation energy, eV/atom: -1.10
# M_tot, μB per formula unit: 0.00
# Energy relative to the lowest polymorph listed for this composition, meV/atom: 0
# Crystal system: trigonal
data_BePbO2
_symmetry_space_group_name_H-M 'R -3 m'
_symmetry_Int_Tables_number 166
_symmetry_space_group_name_Hall '-R 3 2"'
_cell_length_a 2.9745
_cell_length_b 2.9745
_cell_length_c 18.2367
_cell_angle_alpha 90.00
_cell_angle_beta 90.00
_cell_angle_gamma 120.00
loop_
_atom_site_label
_atom_site_fract_x
_atom_site_fract_y
_atom_site_fract_z
Be1 0.0000 0.0000 0.0000
Pb1 0.0000 0.0000 0.5000
O1 0.0000 0.0000 0.3810